Entry 1:
PrTeC: relaxed, PBE.

Properties
The calculation puts the density of states at the Fermi level at 0.02 states/eV/atom. Its symmetry is C2/m (12). As for the density: 6.00 Mg/m³. The value obtained for the total energy is -6.30 eV/atom.

Cell lengths 6.430, 6.430, 7.912 Å; angles 127.05, 127.05, 38.03 degrees
Sites, in units of the cell vectors:
Pr: 0.006 0.006 0.267
Pr: 0.994 0.994 0.733
Te: 0.303 0.303 0.300
Te: 0.697 0.697 0.700
C: 0.492 0.492 0.913
C: 0.508 0.508 0.087


Entry 2:
Pr2TeC2: relaxed, PBE.

Properties
The calculation puts the density of states at the Fermi level at 0.21 states/eV/atom. Its symmetry is C2/c (15). As for the density: 6.22 Mg/m³. The value obtained for the total energy is -6.93 eV/atom.

Cell lengths 7.704, 7.704, 7.345 Å; angles 101.05, 101.05, 32.79 degrees
Sites, in units of the cell vectors:
Pr: 0.039 0.661 0.860
Pr: 0.339 0.961 0.640
Pr: 0.661 0.039 0.360
Pr: 0.961 0.339 0.140
Te: 0.299 0.701 0.250
Te: 0.701 0.299 0.750
C: 0.138 0.400 0.467
C: 0.400 0.138 0.967
C: 0.600 0.862 0.033
C: 0.862 0.600 0.533


Entry 3:
Pr6Te2C: relaxed, PBE.

Properties
The calculation puts the density of states at the Fermi level at 1.26 states/eV/atom. Its symmetry is P2_1/c (14). As for the density: 6.78 Mg/m³. The value obtained for the total energy is -5.56 eV/atom.

Cell lengths 6.638, 8.110, 11.912 Å; angles 90.00, 121.85, 90.00 degrees
Sites, in units of the cell vectors:
Pr: 0.133 0.170 0.465
Pr: 0.133 0.330 0.965
Pr: 0.318 0.709 0.456
Pr: 0.318 0.791 0.956
Pr: 0.366 0.021 0.252
Pr: 0.366 0.479 0.752
Pr: 0.634 0.521 0.248
Pr: 0.634 0.979 0.748
Pr: 0.682 0.209 0.044
Pr: 0.682 0.291 0.544
Pr: 0.867 0.670 0.035
Pr: 0.867 0.830 0.535
Te: 0.177 0.108 0.754
Te: 0.177 0.392 0.254
Te: 0.823 0.608 0.746
Te: 0.823 0.892 0.246
C: 0.500 0.000 0.500
C: 0.500 0.500 0.000


Entry 4:
PrThTeC: relaxed, PBE.

Properties
The calculation puts the density of states at the Fermi level at 0.64 states/eV/atom. Its symmetry is R3m (160). As for the density: 8.36 Mg/m³. The value obtained for the total energy is -6.93 eV/atom.

Cell lengths 7.772, 7.772, 7.772 Å; angles 29.66, 29.66, 29.66 degrees
Sites, in units of the cell vectors:
Pr: 0.000 0.000 0.000
Th: 0.793 0.793 0.793
Te: 0.230 0.230 0.230
C: 0.406 0.406 0.406


Entry 5:
Pr4TlTeC: relaxed, PBE.

Properties
The calculation puts the density of states at the Fermi level at 0.67 states/eV/atom. Its symmetry is Cmcm (63). As for the density: 7.13 Mg/m³. The value obtained for the total energy is -5.35 eV/atom.

Cell lengths 8.938, 8.938, 7.190 Å; angles 90.00, 90.00, 132.62 degrees
Sites, in units of the cell vectors:
Pr: 0.000 0.500 0.000
Pr: 0.000 0.500 0.500
Pr: 0.088 0.912 0.750
Pr: 0.408 0.592 0.750
Pr: 0.500 0.000 0.000
Pr: 0.500 0.000 0.500
Pr: 0.592 0.408 0.250
Pr: 0.912 0.088 0.250
Tl: 0.112 0.888 0.250
Tl: 0.888 0.112 0.750
Te: 0.389 0.611 0.250
Te: 0.611 0.389 0.750
C: 0.247 0.753 0.750
C: 0.753 0.247 0.250


Entry 6:
PrUTe2C: relaxed, PBE.

Properties
The calculation puts the density of states at the Fermi level at 0.99 states/eV/atom. Its symmetry is P4/nmm (129). As for the density: 7.73 Mg/m³. The value obtained for the total energy is -7.06 eV/atom.

Cell lengths 4.073, 4.073, 16.732 Å; angles 90.00, 90.00, 90.00 degrees
Sites, in units of the cell vectors:
Pr: 0.250 0.250 0.147
Pr: 0.750 0.750 0.853
U: 0.250 0.250 0.565
U: 0.750 0.750 0.435
Te: 0.250 0.250 0.332
Te: 0.250 0.250 0.921
Te: 0.750 0.750 0.079
Te: 0.750 0.750 0.668
C: 0.250 0.750 0.500
C: 0.750 0.250 0.500


Entry 7:
PrTh3C2: relaxed, PBE.

Properties
The calculation puts the density of states at the Fermi level at 1.14 states/eV/atom. Its symmetry is C2/m (12). As for the density: 9.42 Mg/m³. The value obtained for the total energy is -7.75 eV/atom. The value obtained for the energy relative to the elements is -0.170 eV/atom.

Cell lengths 8.551, 8.551, 12.727 Å; angles 128.12, 128.12, 24.89 degrees
Sites, in units of the cell vectors:
Pr: 0.137 0.137 0.198
Pr: 0.863 0.863 0.802
Th: 0.140 0.140 0.700
Th: 0.362 0.362 0.052
Th: 0.363 0.363 0.551
Th: 0.637 0.637 0.449
Th: 0.638 0.638 0.948
Th: 0.860 0.860 0.300
C: 0.244 0.244 0.614
C: 0.251 0.251 0.122
C: 0.749 0.749 0.878
C: 0.756 0.756 0.386


Entry 8:
PrTh3C: relaxed, PBE.

Properties
The calculation puts the density of states at the Fermi level at 1.01 states/eV/atom. Its symmetry is Pm-3m (221). As for the density: 10.09 Mg/m³. The value obtained for the total energy is -7.34 eV/atom. The value obtained for the energy relative to the elements is -0.092 eV/atom.

Cell lengths 5.190, 5.190, 5.190 Å; angles 90.00, 90.00, 90.00 degrees
Sites, in units of the cell vectors:
Pr: 0.000 0.000 0.000
Th: 0.000 0.500 0.500
Th: 0.500 0.000 0.500
Th: 0.500 0.500 0.000
C: 0.500 0.500 0.500


Entry 9:
PrThC: relaxed, PBE.

Properties
The calculation puts the density of states at the Fermi level at 1.03 states/eV/atom. Its symmetry is P-1 (2). As for the density: 8.03 Mg/m³. The value obtained for the total energy is -7.18 eV/atom. The value obtained for the energy relative to the elements is -0.040 eV/atom.

Cell lengths 4.142, 6.130, 6.468 Å; angles 102.50, 95.48, 92.36 degrees
Sites, in units of the cell vectors:
Pr: 0.057 0.306 0.284
Pr: 0.943 0.694 0.716
Th: 0.457 0.182 0.768
Th: 0.543 0.818 0.232
C: 0.109 0.940 0.435
C: 0.891 0.060 0.565


Entry 10:
PrTh3C3: relaxed, PBE.

Properties
The calculation puts the density of states at the Fermi level at 0.74 states/eV/atom. Its symmetry is Pm-3m (221). As for the density: 9.73 Mg/m³. The value obtained for the total energy is -7.91 eV/atom. The value obtained for the energy relative to the elements is -0.094 eV/atom.

Cell lengths 5.302, 5.302, 5.302 Å; angles 90.00, 90.00, 90.00 degrees
Sites, in units of the cell vectors:
Pr: 0.000 0.000 0.000
Th: 0.000 0.500 0.500
Th: 0.500 0.000 0.500
Th: 0.500 0.500 0.000
C: 0.000 0.000 0.500
C: 0.000 0.500 0.000
C: 0.500 0.000 0.000


Entry 11:
PrTh3C3: relaxed, PBE.

Properties
The calculation puts the density of states at the Fermi level at 0.71 states/eV/atom. Its symmetry is Cmcm (63). As for the density: 9.54 Mg/m³. The value obtained for the total energy is -8.02 eV/atom. The value obtained for the energy relative to the elements is -0.205 eV/atom.

Cell lengths 7.537, 7.537, 5.350 Å; angles 90.00, 90.00, 89.82 degrees
Sites, in units of the cell vectors:
Pr: 0.134 0.866 0.750
Pr: 0.866 0.134 0.250
Th: 0.131 0.381 0.750
Th: 0.379 0.621 0.250
Th: 0.381 0.131 0.250
Th: 0.619 0.869 0.750
Th: 0.621 0.379 0.750
Th: 0.869 0.619 0.250
C: 0.129 0.382 0.250
C: 0.381 0.619 0.750
C: 0.382 0.129 0.750
C: 0.618 0.871 0.250
C: 0.619 0.381 0.250
C: 0.871 0.618 0.750


Entry 12:
PrTh2C2: relaxed, PBE.

Properties
The calculation puts the density of states at the Fermi level at 0.88 states/eV/atom. Its symmetry is Immm (71). As for the density: 9.18 Mg/m³. The value obtained for the total energy is -7.79 eV/atom. The value obtained for the energy relative to the elements is -0.173 eV/atom.

Cell lengths 6.569, 6.569, 6.569 Å; angles 146.92, 132.12, 59.43 degrees
Sites, in units of the cell vectors:
Pr: 0.000 0.000 0.000
Th: 0.325 0.325 0.000
Th: 0.675 0.675 0.000
C: 0.181 0.681 0.500
C: 0.819 0.319 0.500


Entry 13:
PrThC2: relaxed, PBE.

Properties
The calculation puts the density of states at the Fermi level at 1.15 states/eV/atom. Its symmetry is R-3m (166). As for the density: 8.65 Mg/m³. The value obtained for the total energy is -7.66 eV/atom. The value obtained for the energy relative to the elements is -0.001 eV/atom.

Cell lengths 6.538, 6.538, 6.538 Å; angles 33.59, 33.59, 33.59 degrees
Sites, in units of the cell vectors:
Pr: 0.000 0.000 0.000
Th: 0.500 0.500 0.500
C: 0.244 0.244 0.244
C: 0.756 0.756 0.756